[1]
A PBEsol-optimized structure of La3PtW. Source: Alexandria via LeMat-Bulk, functional SCAN.

abc: 5.5041 5.5041 5.5041
angles: 90.00 90.00 90.00
Sites, in units of the cell vectors:
La1 0.0000 0.0000 0.5000
La2 0.0000 0.5000 0.0000
La3 0.5000 0.0000 0.0000
Pt1 0.0000 0.0000 0.0000
W1 0.5000 0.5000 0.5000

Results
- Space-group type: No. 221
- Formation energy from the elements: 0.487 eV/atom
- Density of states at the Fermi level: 7.60 states/eV/cell
- Energy: -53.3521 eV/atom

---

[2]
A PBEsol-optimized structure of LaPtW2. Source: Alexandria via LeMat-Bulk, functional SCAN.

abc: 10.2963 10.2963 10.2963
angles: 16.03 16.03 16.03
Sites, in units of the cell vectors:
La1 0.0000 0.0000 0.0000
Pt1 0.7577 0.7577 0.7577
W1 0.2383 0.2383 0.2383
W2 0.4945 0.4945 0.4945

Results
- Space-group type: No. 160
- Distance to the lowest polymorph of the same formula: 0.973 eV per formula unit
- Formation energy from the elements: 0.489 eV/atom
- Density of states at the Fermi level: 3.77 states/eV/cell
- Energy: -62.6793 eV/atom

---

[3]
A PBEsol-optimized structure of LaYPt2. Source: Alexandria via LeMat-Bulk, functional SCAN.

abc: 4.8221 4.8221 4.8221
angles: 60.00 60.00 60.00
Sites, in units of the cell vectors:
La1 0.0000 0.0000 0.0000
Y1 0.7500 0.7500 0.7500
Pt1 0.2500 0.2500 0.2500
Pt2 0.5000 0.5000 0.5000

Results
- Space-group type: No. 216
- Distance to the lowest polymorph of the same formula: 1.986 eV per formula unit
- Formation energy from the elements: -0.917 eV/atom
- Density of states at the Fermi level: 3.27 states/eV/cell
- Energy: -53.7505 eV/atom

---

[4]
A PBEsol-optimized structure of La3YPt. Source: Alexandria via LeMat-Bulk, functional SCAN.

abc: 5.6555 5.6555 5.6555
angles: 90.00 90.00 90.00
Sites, in units of the cell vectors:
La1 0.0000 0.0000 0.5000
La2 0.0000 0.5000 0.0000
La3 0.5000 0.0000 0.0000
Y1 0.5000 0.5000 0.5000
Pt1 0.0000 0.0000 0.0000

Results
- Space-group type: No. 221
- Formation energy from the elements: -0.389 eV/atom
- Density of states at the Fermi level: 6.81 states/eV/cell
- Energy: -45.8590 eV/atom

---

[5]
A PBEsol-optimized structure of LaY2Pt2. Source: Alexandria via LeMat-Bulk, functional SCAN.

abc: 6.6499 6.6499 6.6499
angles: 138.97 138.97 59.42
Sites, in units of the cell vectors:
La1 0.0000 0.0000 0.0000
Y1 0.2500 0.7500 0.5000
Y2 0.7500 0.2500 0.5000
Pt1 0.3868 0.3868 0.0000
Pt2 0.6132 0.6132 0.0000

Results
- Space-group type: No. 139
- Distance to the lowest polymorph of the same formula: 0.335 eV per formula unit
- Formation energy from the elements: -1.103 eV/atom
- Density of states at the Fermi level: 5.07 states/eV/cell
- Energy: -48.9388 eV/atom

---

[6]
A PBEsol-optimized structure of LaY2Pt. Source: Alexandria via LeMat-Bulk, functional SCAN.

abc: 6.4897 6.4897 6.4897
angles: 147.58 131.23 59.79
Sites, in units of the cell vectors:
La1 0.0000 0.0000 0.0000
Y1 0.3028 0.8028 0.5000
Y2 0.6972 0.1972 0.5000
Pt1 0.5000 0.5000 0.0000

Results
- Space-group type: No. 71
- Distance to the lowest polymorph of the same formula: 0.000 eV per formula unit
- Formation energy from the elements: -0.704 eV/atom
- Density of states at the Fermi level: 4.63 states/eV/cell
- Energy: -42.9502 eV/atom